# 1
VASP calculation (GGA-PBEsol) on a relaxed BaH5BrO3 crystal.

Cell: 4.538 4.538 11.864 Å, 90.00 90.00 90.00°
Sites, in units of the cell vectors:
Ba  0.250  0.250  0.188
Ba  0.750  0.750  0.812
H  0.066  0.750  0.372
H  0.250  0.250  0.491
H  0.250  0.566  0.628
H  0.250  0.934  0.628
H  0.434  0.750  0.372
H  0.566  0.250  0.628
H  0.750  0.066  0.372
H  0.750  0.434  0.372
H  0.750  0.750  0.509
H  0.934  0.250  0.628
Br  0.250  0.250  0.906
Br  0.750  0.750  0.094
O  0.250  0.250  0.574
O  0.250  0.750  0.322
O  0.250  0.750  0.678
O  0.750  0.250  0.322
O  0.750  0.250  0.678
O  0.750  0.750  0.426

Computed properties:
E_tot	-5.09	eV per atom
D(E_F)	0.000	states/eV per cell
magnetization	0.00	μB/atom

# 2
VASP calculation (GGA-PBEsol) on a relaxed FePt2Rh crystal.

Cell: 8.961 2.705 4.672 Å, 90.00 100.52 90.00°
Sites, in units of the cell vectors:
Fe  0.000  0.000  0.000
Fe  0.500  0.500  0.000
Pt  0.247  0.500  0.248
Pt  0.253  0.000  0.752
Pt  0.747  0.000  0.248
Pt  0.753  0.500  0.752
Rh  0.000  0.500  0.500
Rh  0.500  0.000  0.500

Computed properties:
energy relative to the elements	-0.049	eV/atom
E_tot	-7.81	eV per atom
D(E_F)	11.779	states/eV per cell
magnetization	0.99	μB/atom

# 3
VASP calculation (GGA-PBEsol) on a relaxed CoTc2Os crystal.

Cell: 2.660 2.660 25.750 Å, 90.00 90.00 120.00°
Sites, in units of the cell vectors:
Co  0.000  0.000  0.000
Co  0.333  0.667  0.667
Co  0.667  0.333  0.333
Tc  0.000  0.000  0.500
Tc  0.000  0.000  0.746
Tc  0.333  0.667  0.167
Tc  0.333  0.667  0.413
Tc  0.667  0.333  0.079
Tc  0.667  0.333  0.834
Os  0.000  0.000  0.252
Os  0.333  0.667  0.919
Os  0.667  0.333  0.586

Computed properties:
energy relative to the elements	0.138	eV/atom
E_tot	-10.48	eV per atom
energy above the lowest structure with this stoichiometry	0.193	eV/atom
D(E_F)	13.791	states/eV per cell
magnetization	0.14	μB/atom

# 4
VASP calculation (GGA-PBEsol) on a relaxed WBr3 crystal.

Cell: 4.913 13.579 3.318 Å, 90.00 90.00 90.00°
Sites, in units of the cell vectors:
W  0.000  0.000  0.000
W  0.500  0.500  0.000
Br  0.000  0.144  0.500
Br  0.000  0.500  0.000
Br  0.000  0.856  0.500
Br  0.500  0.000  0.000
Br  0.500  0.356  0.500
Br  0.500  0.644  0.500

Computed properties:
E_tot	-4.96	eV per atom
energy above the lowest structure with this stoichiometry	0.000	eV/atom
D(E_F)	5.489	states/eV per cell
ΔE_f (raw)	-0.10	eV/atom
magnetization	0.00	μB/atom

Question: Which formula does entry 3 have?
Answer: CoTc2Os

Question: Which value of E_tot does entry 3 give?
Answer: -10.48 eV per atom

Question: magnetization of number 4 (WBr3)?
Answer: 0.00 μB/atom

Question: What is the formula in the first record?
Answer: BaH5BrO3